An optimized crystal structure of HfNbN3. Source: the Alexandria database, functional PBE.

a = 3.9846 Å, b = 3.9846 Å, c = 3.9846 Å
α = 90.00°, β = 90.00°, γ = 90.00°
Fractional coordinates of all 5 atoms:
Hf: 0.0000 0.0000 0.0000
Nb: 0.5000 0.5000 0.5000
N: 0.0000 0.5000 0.5000
N: 0.5000 0.0000 0.5000
N: 0.5000 0.5000 0.0000

Values from the calculation:
For the total energy, the calculation gives -9.12 eV/atom. The calculation puts the density of states at the Fermi level at 0.50 states/eV/f.u. For the formation energy (no corrections), the calculation gives -0.117 eV per atom.

=====

An optimized crystal structure of HfNb2N4. Source: the Alexandria database, functional PBE.

a = 11.5879 Å, b = 3.1371 Å, c = 5.3391 Å
α = 90.00°, β = 116.42°, γ = 90.00°
Fractional coordinates of all 14 atoms:
Hf: 0.0000 0.0000 0.0000
Hf: 0.5000 0.5000 0.0000
Nb: 0.2179 0.5000 0.7175
Nb: 0.2821 0.0000 0.2825
Nb: 0.7179 0.0000 0.7175
Nb: 0.7821 0.5000 0.2825
N: 0.1308 0.0000 0.4468
N: 0.1365 0.5000 0.9989
N: 0.3635 0.0000 0.0011
N: 0.3692 0.5000 0.5532
N: 0.6308 0.5000 0.4468
N: 0.6365 0.0000 0.9989
N: 0.8635 0.5000 0.0011
N: 0.8692 0.0000 0.5532

Values from the calculation:
For the total energy, the calculation gives -10.08 eV/atom. The calculation puts the density of states at the Fermi level at 3.00 states/eV/f.u. For the formation energy (no corrections), the calculation gives -1.026 eV per atom.

=====

An optimized crystal structure of Hf4Nb2N. Source: the Alexandria database, functional PBE.

a = 4.3005 Å, b = 4.3005 Å, c = 15.0855 Å
α = 90.00°, β = 90.00°, γ = 90.00°
Fractional coordinates of all 14 atoms:
Hf: 0.0000 0.0000 0.1495
Hf: 0.0000 0.0000 0.8505
Hf: 0.0000 0.5000 0.0000
Hf: 0.0000 0.5000 0.5000
Hf: 0.5000 0.0000 0.0000
Hf: 0.5000 0.0000 0.5000
Hf: 0.5000 0.5000 0.3505
Hf: 0.5000 0.5000 0.6495
Nb: 0.0000 0.0000 0.3480
Nb: 0.0000 0.0000 0.6520
Nb: 0.5000 0.5000 0.1520
Nb: 0.5000 0.5000 0.8480
N: 0.0000 0.0000 0.0000
N: 0.5000 0.5000 0.5000

Values from the calculation:
For the total energy, the calculation gives -9.92 eV/atom. The calculation puts the density of states at the Fermi level at 7.24 states/eV/f.u. For the formation energy (no corrections), the calculation gives -0.163 eV per atom.

=====

An optimized crystal structure of HfNbN3. Source: the Alexandria database, functional PBE.

a = 4.0469 Å, b = 4.0469 Å, c = 4.0469 Å
α = 90.00°, β = 90.00°, γ = 90.00°
Fractional coordinates of all 5 atoms:
Hf: 0.0000 0.0000 0.0000
Nb: 0.5000 0.5000 0.5000
N: 0.0000 0.0000 0.5000
N: 0.0000 0.5000 0.0000
N: 0.5000 0.0000 0.0000

Values from the calculation:
For the total energy, the calculation gives -8.55 eV/atom. The calculation puts the density of states at the Fermi level at 4.59 states/eV/f.u. For the formation energy (no corrections), the calculation gives 0.452 eV per atom.

=====

An optimized crystal structure of HfNbN3. Source: the Alexandria database, functional PBE.

a = 5.5425 Å, b = 5.5425 Å, c = 5.6881 Å
α = 90.00°, β = 90.00°, γ = 120.00°
Fractional coordinates of all 10 atoms:
Hf: 0.0000 0.0000 0.0000
Hf: 0.0000 0.0000 0.5000
Nb: 0.3333 0.6667 0.0000
Nb: 0.3333 0.6667 0.5000
N: 0.1397 0.3405 0.2500
N: 0.1397 0.7992 0.7500
N: 0.2008 0.3405 0.7500
N: 0.2008 0.8603 0.2500
N: 0.6595 0.7992 0.2500
N: 0.6595 0.8603 0.7500

Values from the calculation:
For the total energy, the calculation gives -10.08 eV/atom. The calculation puts the density of states at the Fermi level at 0.27 states/eV/f.u. For the formation energy (no corrections), the calculation gives -1.084 eV per atom.

=====

An optimized crystal structure of HfNbN3. Source: the Alexandria database, functional PBE.

a = 6.2928 Å, b = 6.2928 Å, c = 6.7787 Å
α = 106.24°, β = 106.24°, γ = 29.49°
Fractional coordinates of all 10 atoms:
Hf: 0.1476 0.1476 0.3251
Hf: 0.8524 0.8524 0.6749
Nb: 0.3630 0.3630 0.1763
Nb: 0.6370 0.6370 0.8237
N: 0.0375 0.0375 0.8027
N: 0.2896 0.2896 0.8604
N: 0.3414 0.3414 0.4703
N: 0.6586 0.6586 0.5297
N: 0.7104 0.7104 0.1396
N: 0.9625 0.9625 0.1973

Values from the calculation:
For the total energy, the calculation gives -10.14 eV/atom. For the formation energy (no corrections), the calculation gives -1.138 eV per atom.

=====

An optimized crystal structure of HfNb2N. Source: the Alexandria database, functional PBE.

a = 3.0931 Å, b = 3.0931 Å, c = 24.1979 Å
α = 90.00°, β = 90.00°, γ = 120.00°
Fractional coordinates of all 12 atoms:
Hf: 0.0000 0.0000 0.0000
Hf: 0.3333 0.6667 0.6667
Hf: 0.6667 0.3333 0.3333
Nb: 0.0000 0.0000 0.1149
Nb: 0.0000 0.0000 0.8851
Nb: 0.3333 0.6667 0.5518
Nb: 0.3333 0.6667 0.7816
Nb: 0.6667 0.3333 0.2184
Nb: 0.6667 0.3333 0.4482
N: 0.0000 0.0000 0.5000
N: 0.3333 0.6667 0.1667
N: 0.6667 0.3333 0.8333

Values from the calculation:
For the total energy, the calculation gives -9.82 eV/atom. The calculation puts the density of states at the Fermi level at 2.24 states/eV/f.u. For the formation energy (no corrections), the calculation gives -0.212 eV per atom.

=====

An optimized crystal structure of Hf3Nb3N. Source: the Alexandria database, functional PBE.

a = 8.8728 Å, b = 8.8728 Å, c = 8.8728 Å
α = 60.00°, β = 60.00°, γ = 60.00°
Fractional coordinates of all 28 atoms:
Hf: 0.0570 0.0570 0.6930
Hf: 0.0570 0.6930 0.0570
Hf: 0.0570 0.6930 0.6930
Hf: 0.3070 0.3070 0.9430
Hf: 0.3070 0.9430 0.3070
Hf: 0.3070 0.9430 0.9430
Hf: 0.6930 0.0570 0.0570
Hf: 0.6930 0.0570 0.6930
Hf: 0.6930 0.6930 0.0570
Hf: 0.9430 0.3070 0.3070
Hf: 0.9430 0.3070 0.9430
Hf: 0.9430 0.9430 0.3070
Nb: 0.0000 0.5000 0.5000
Nb: 0.2902 0.2902 0.2902
Nb: 0.2902 0.2902 0.6295
Nb: 0.2902 0.6295 0.2902
Nb: 0.3705 0.7098 0.7098
Nb: 0.5000 0.0000 0.5000
Nb: 0.5000 0.5000 0.0000
Nb: 0.5000 0.5000 0.5000
Nb: 0.6295 0.2902 0.2902
Nb: 0.7098 0.3705 0.7098
Nb: 0.7098 0.7098 0.3705
Nb: 0.7098 0.7098 0.7098
N: 0.0000 0.0000 0.0000
N: 0.0000 0.0000 0.5000
N: 0.0000 0.5000 0.0000
N: 0.5000 0.0000 0.0000

Values from the calculation:
For the total energy, the calculation gives -10.27 eV/atom. The calculation puts the density of states at the Fermi level at 7.01 states/eV/f.u. For the formation energy (no corrections), the calculation gives -0.500 eV per atom.